Entry 1:
This record from Alexandria via LeMat-Bulk describes a geometry-optimized Nb5Tc structure. The functional is PBE.

Cell lengths 7.332, 7.332, 3.258 Å; angles 90.00, 90.00, 143.12 degrees
Atoms (fractional coordinates):
Nb (0.000, 0.000, 0.000)
Nb (0.167, 0.833, 0.500)
Nb (0.339, 0.661, 0.000)
Nb (0.661, 0.339, 0.000)
Nb (0.833, 0.167, 0.500)
Tc (0.500, 0.500, 0.500)

Values from the calculation:
The calculation puts the total energy at -10.27 eV/atom. The calculation puts the energy above the most stable polymorph in this dataset at 3 meV/atom. The calculation puts the spin magnetization at 0.000 μB per formula unit. The value obtained for the energy of formation is -0.1475 eV per atom.

Entry 2:
This record from Alexandria via LeMat-Bulk describes a geometry-optimized Dy3ErRu structure. The functional is PBE.

Cell lengths 6.264, 6.264, 12.900 Å; angles 112.09, 112.09, 36.11 degrees
Atoms (fractional coordinates):
Dy (0.000, 0.000, 0.000)
Dy (0.024, 0.024, 0.378)
Dy (0.334, 0.334, 0.763)
Dy (0.365, 0.365, 0.138)
Dy (0.691, 0.691, 0.236)
Dy (0.798, 0.798, 0.519)
Er (0.556, 0.556, 0.623)
Er (0.672, 0.672, 0.903)
Ru (0.001, 0.001, 0.760)
Ru (0.361, 0.361, 0.389)

Values from the calculation:
The calculation puts the total energy at -5.75 eV/atom. The calculation puts the energy above the most stable polymorph in this dataset at 0 meV/atom. The calculation puts the spin magnetization at 0.000 μB per formula unit. The value obtained for the energy of formation is -0.2258 eV per atom.

Entry 3:
This record from Alexandria via LeMat-Bulk describes a geometry-optimized Nd3Tl2Cd structure. The functional is PBE.

Cell lengths 3.837, 3.837, 12.021 Å; angles 90.00, 90.00, 90.00 degrees
Atoms (fractional coordinates):
Nd (0.000, 0.000, 0.000)
Nd (0.000, 0.000, 0.340)
Nd (0.000, 0.000, 0.660)
Tl (0.500, 0.500, 0.173)
Tl (0.500, 0.500, 0.827)
Cd (0.500, 0.500, 0.500)

Values from the calculation:
The calculation puts the total energy at -3.69 eV/atom. The calculation puts the energy above the most stable polymorph in this dataset at 3 meV/atom. The calculation puts the spin magnetization at 0.004 μB per formula unit. The value obtained for the energy of formation is -0.3655 eV per atom.

Entry 4:
This record from Alexandria via LeMat-Bulk describes a geometry-optimized LiSbTe2 structure. The functional is PBE.

Cell lengths 5.331, 5.331, 5.331 Å; angles 60.00, 60.00, 60.00 degrees
Atoms (fractional coordinates):
Li (0.000, 0.000, 0.000)
Sb (0.750, 0.750, 0.750)
Te (0.250, 0.250, 0.250)
Te (0.500, 0.500, 0.500)

Values from the calculation:
Its formation energy from raw total energies is 0.08 eV per atom. The calculation puts the total energy at -3.00 eV/atom. The calculation puts the spin magnetization at 0.000 μB per formula unit.

Entry 5:
This record from Alexandria via LeMat-Bulk describes a geometry-optimized MnTc2Te structure. The functional is PBE.

Cell lengths 3.059, 3.881, 5.465 Å; angles 90.00, 90.00, 90.00 degrees
Atoms (fractional coordinates):
Mn (0.000, 0.000, 0.000)
Tc (0.000, 0.000, 0.454)
Tc (0.500, 0.500, 0.228)
Te (0.500, 0.500, 0.725)

Values from the calculation:
Its formation energy from raw total energies is 0.34 eV per atom. The calculation puts the total energy at -7.93 eV/atom. The calculation puts the spin magnetization at 3.217 μB per formula unit.

Entry 6:
This record from Alexandria via LeMat-Bulk describes a geometry-optimized TaIn2As structure. The functional is PBE.

Cell lengths 6.013, 6.013, 6.013 Å; angles 147.95, 130.93, 59.82 degrees
Atoms (fractional coordinates):
Ta (0.000, 0.000, 0.000)
In (0.457, 0.457, 0.000)
In (0.744, 0.244, 0.500)
As (0.187, 0.687, 0.500)

Values from the calculation:
The calculation puts the total energy at -5.34 eV/atom. The calculation puts the spin magnetization at 0.000 μB per formula unit. The value obtained for the energy of formation is 0.1582 eV per atom.

- Which formula does entry 5 have?
  MnTc2Te

- Look up the spin magnetization of the second one.
  0.000 μB per formula unit